<A>
## Nd8GaNi2 (PBE)

Data for a geometry-optimized Nd8GaNi2 structure.

Output
* total magnetic moment: 0.00 μB/cell

Cell lengths 8.0903, 8.0903, 5.5700 Å; angles 98.40, 98.40, 115.18 degrees
Last column: nearest neighbours and their distance in Å.
Sites, in units of the cell vectors:
Nd 0.0000 0.0000 0.0000  1 Ga 3.21, 4 Nd 3.26-3.52, 2 Ni 3.26
Nd 0.0525 0.3033 0.6135  2 Ni 2.87-2.93
Nd 0.1454 0.6236 0.1867  2 Ni 2.90
Nd 0.3033 0.0525 0.6135  2 Ni 2.87-2.93
Nd 0.4660 0.7171 0.7593  2 Ni 2.87-2.93
Nd 0.6236 0.1454 0.1867  2 Ni 2.90
Nd 0.7171 0.4660 0.7593  2 Ni 2.87-2.93
Nd 0.7694 0.7694 0.3736  1 Ga 3.21, 4 Nd 3.26-3.52, 2 Ni 3.26
Ga 0.3845 0.3845 0.1900  4 Nd 3.21-3.27
Ni 0.0856 0.6837 0.6868  6 Nd 2.87-2.93
Ni 0.6837 0.0856 0.6868  6 Nd 2.87-2.93

<B>
## Nd8GaNi2 (PBE)

Data for a geometry-optimized Nd8GaNi2 structure.

Output
* total magnetic moment: 0.00 μB/cell

Cell lengths 9.5576, 9.5576, 6.9400 Å; angles 109.74, 109.74, 31.70 degrees
Last column: nearest neighbours and their distance in Å.
Sites, in units of the cell vectors:
Nd 0.0331 0.0331 0.2861  1 Ni 2.70
Nd 0.1961 0.1961 0.8452  1 Ni 2.82
Nd 0.3202 0.3202 0.4926  1 Ni 2.75
Nd 0.4054 0.4054 0.0230  1 Ga 3.15, 2 Ni 3.15, 3 Nd 3.46-3.51
Nd 0.5946 0.5946 0.9770  1 Ga 3.15, 2 Ni 3.15, 3 Nd 3.46-3.51
Nd 0.6798 0.6798 0.5074  1 Ni 2.75
Nd 0.8039 0.8039 0.1548  1 Ni 2.82
Nd 0.9670 0.9670 0.7139  1 Ni 2.70
Ga 0.5000 0.5000 0.5000  8 Nd 3.15-3.29
Ni 0.1696 0.1696 0.2208  3 Nd 2.70-2.82
Ni 0.8304 0.8304 0.7792  3 Nd 2.70-2.82

The structure with the least stability is <A>.

<A>
## NdGa2O4 (PBE)

Data for a geometry-optimized NdGa2O4 structure.

Output
* total magnetic moment: 0.00 μB/cell

Cell lengths 5.5623, 5.8798, 6.8769 Å; angles 94.77, 106.07, 111.83 degrees
Last column: nearest neighbours and their distance in Å.
Sites, in units of the cell vectors:
Nd 0.0000 0.0000 0.0000  5 O 2.33-2.60
Nd 0.2532 0.7651 0.5794  8 O 2.44-2.71
Ga 0.3028 0.6184 0.0453  3 O 1.89-1.97
Ga 0.5895 0.3830 0.7608  4 O 1.86-2.08
Ga 0.5982 0.5011 0.2961  3 O 1.85-2.00
Ga 0.7425 0.0774 0.4183  4 O 1.85-1.93
O 0.3094 0.1275 0.8192  1 Ga 1.88
O 0.3605 0.9066 0.2481  2 Ga 1.93-1.97
O 0.4557 0.4683 0.5105  2 Ga 1.85-1.86
O 0.5418 0.6947 0.8866  2 Ga 1.90-2.10
O 0.7116 0.1041 0.6809  2 Ga 1.86-2.08
O 0.8688 0.3753 0.3305  2 Ga 1.85-1.88
O 0.8802 0.8518 0.3494  2 Ga 1.85-2.00
O 0.9836 0.6151 0.8514  2 Ga 1.89-1.98

<B>
## NdGa2O4 (PBE)

Data for a geometry-optimized NdGa2O4 structure.

Output
* total magnetic moment: 0.00 μB/cell

Cell lengths 6.5888, 6.5888, 6.5888 Å; angles 126.33, 111.37, 92.48 degrees
Last column: nearest neighbours and their distance in Å.
Sites, in units of the cell vectors:
Nd 0.0000 0.0000 0.0000  6 O 2.36-2.38
Nd 0.5000 0.0000 0.5000  6 O 2.36-2.38
Ga 0.0000 0.0000 0.5000  4 O 2.00
Ga 0.0000 0.5000 0.0000  4 O 2.00
Ga 0.3767 0.6267 0.7500  2 O 1.90
Ga 0.6233 0.3733 0.2500  2 O 1.90
O 0.1771 0.7475 0.4296  2 Ga 2.00
O 0.1822 0.2525 0.9296  2 Ga 2.00
O 0.2465 0.2475 0.5010  1 Ga 1.90
O 0.2465 0.7455 0.9990  1 Ga 1.90
O 0.7535 0.2545 0.0010  1 Ga 1.90
O 0.7535 0.7525 0.4990  1 Ga 1.90
O 0.8178 0.7475 0.0704  2 Ga 2.00
O 0.8229 0.2525 0.5704  2 Ga 2.00

The structure with the least stability is <B>.

<A>
## Nd8Ga2Os (PBE)

Data for a geometry-optimized Nd8Ga2Os structure.

Output
* total magnetic moment: 0.00 μB/cell

Cell lengths 9.5384, 9.5384, 6.9447 Å; angles 102.75, 102.75, 31.40 degrees
Last column: nearest neighbours and their distance in Å.
Sites, in units of the cell vectors:
Nd 0.0226 0.0226 0.2844  2 Os 3.06, 1 Ga 3.16, 1 Nd 3.29
Nd 0.2057 0.2057 0.8027  3 Ga 3.06-3.27
Nd 0.3454 0.3454 0.5408  1 Os 2.92, 3 Ga 3.17
Nd 0.4093 0.4093 0.0622  1 Os 3.11, 2 Nd 3.45
Nd 0.5907 0.5907 0.9378  1 Os 3.11, 2 Nd 3.45
Nd 0.6546 0.6546 0.4592  1 Os 2.92, 3 Ga 3.17
Nd 0.7943 0.7943 0.1973  3 Ga 3.06-3.27
Nd 0.9774 0.9774 0.7156  2 Os 3.06, 1 Ga 3.16, 1 Nd 3.29
Ga 0.1890 0.1890 0.2314  7 Nd 3.06-3.27
Ga 0.8110 0.8110 0.7686  7 Nd 3.06-3.27
Os 0.5000 0.5000 0.5000  8 Nd 2.92-3.11

<B>
## Nd8Ga2Os (PBE)

Data for a geometry-optimized Nd8Ga2Os structure.

Output
* total magnetic moment: 0.00 μB/cell

Cell lengths 8.8947, 8.8947, 8.8947 Å; angles 147.82, 121.69, 68.18 degrees
Last column: nearest neighbours and their distance in Å.
Sites, in units of the cell vectors:
Nd 0.1142 0.3424 0.7718  3 Ga 3.21, 1 Os 3.31, 4 Nd 3.42-3.45
Nd 0.1204 0.1204 0.0000  2 Os 3.04, 2 Nd 3.37
Nd 0.3307 0.0000 0.3307  1 Nd 2.93, 2 Ga 3.22
Nd 0.4294 0.6576 0.7718  3 Ga 3.21, 1 Os 3.31, 4 Nd 3.42-3.45
Nd 0.5706 0.3424 0.2282  3 Ga 3.21, 1 Os 3.31, 4 Nd 3.42-3.45
Nd 0.6693 0.0000 0.6693  1 Nd 2.93, 2 Ga 3.22
Nd 0.8796 0.8796 0.0000  2 Os 3.04, 2 Nd 3.37
Nd 0.8858 0.6576 0.2282  3 Ga 3.21, 1 Os 3.31, 4 Nd 3.42-3.45
Ga 0.3058 0.8058 0.5000  8 Nd 3.21-3.22
Ga 0.6942 0.1942 0.5000  8 Nd 3.21-3.22
Os 0.0000 0.5000 0.5000  8 Nd 3.04-3.31

The structure with the least stability is <B>.

<A>
## Nd3GaOs (PBE)

Data for a geometry-optimized Nd3GaOs structure.

Output
* total magnetic moment: 0.00 μB/cell

Cell lengths 9.4389, 8.7234, 5.9134 Å; angles 77.70, 64.55, 37.74 degrees
Last column: nearest neighbours and their distance in Å.
Sites, in units of the cell vectors:
Nd 0.1971 0.1971 0.8029  4 Os 3.08, 2 Nd 3.39, 2 Ga 3.42
Nd 0.2066 0.5857 0.4143  2 Os 2.94, 2 Ga 3.24
Nd 0.4143 0.7934 0.2066  2 Os 2.94, 2 Ga 3.24
Nd 0.5857 0.2066 0.7934  2 Os 2.94, 2 Ga 3.24
Nd 0.7934 0.4143 0.5857  2 Os 2.94, 2 Ga 3.24
Nd 0.8029 0.8029 0.1971  4 Os 3.08, 2 Nd 3.39, 2 Ga 3.42
Ga 0.1895 0.8105 0.8105  1 Ga 2.51
Ga 0.8105 0.1895 0.1895  1 Ga 2.51
Os 0.2500 0.2500 0.2500  8 Nd 2.94-3.08
Os 0.7500 0.7500 0.7500  8 Nd 2.94-3.08

<B>
## Nd3GaOs (PBE)

Data for a geometry-optimized Nd3GaOs structure.

Output
* total magnetic moment: 0.00 μB/cell

Cell lengths 4.6713, 7.7694, 7.9833 Å; angles 95.72, 90.04, 107.49 degrees
Last column: nearest neighbours and their distance in Å.
Sites, in units of the cell vectors:
Nd 0.0467 0.0930 0.2936  1 Os 2.88, 2 Ga 3.09
Nd 0.2391 0.4780 0.6885  3 Os 3.02-3.34, 3 Ga 3.28-3.34
Nd 0.3836 0.7670 0.0671  3 Os 2.80-2.86, 1 Ga 3.10
Nd 0.6164 0.2330 0.9329  3 Os 2.80-2.86, 1 Ga 3.10
Nd 0.7609 0.5220 0.3115  3 Os 3.02-3.34, 3 Ga 3.28-3.34
Nd 0.9533 0.9070 0.7064  1 Os 2.88, 2 Ga 3.09
Ga 0.4094 0.8195 0.4578  1 Ga 2.69
Ga 0.5906 0.1805 0.5422  1 Ga 2.69
Os 0.1965 0.3931 0.0914  6 Nd 2.80-3.02
Os 0.8035 0.6069 0.9086  6 Nd 2.80-3.02

The structure with the least stability is <B>.

<A>
## NdGa3Os (PBE)

Data for a geometry-optimized NdGa3Os structure.

Output
* total magnetic moment: 0.60 μB/cell

Cell lengths 6.7711, 6.7711, 6.7711 Å; angles 128.54, 90.41, 111.71 degrees
Last column: nearest neighbours and their distance in Å.
Sites, in units of the cell vectors:
Nd 0.3523 0.1023 0.2500  7 Ga 3.14-3.36
Nd 0.6477 0.8977 0.7500  7 Ga 3.14-3.36
Ga 0.2058 0.0000 0.7058  2 Os 2.44
Ga 0.2058 0.5000 0.2058  2 Os 2.44
Ga 0.2070 0.4570 0.7500  2 Os 2.41
Ga 0.7930 0.5430 0.2500  2 Os 2.41
Ga 0.7942 0.0000 0.2942  2 Os 2.44
Ga 0.7942 0.5000 0.7942  2 Os 2.44
Os 0.0000 0.5000 0.5000  6 Ga 2.41-2.44
Os 0.5000 0.5000 0.0000  6 Ga 2.41-2.44

<B>
## NdGa3Os (PBE)

Data for a geometry-optimized NdGa3Os structure.

Output
* total magnetic moment: 0.00 μB/cell

Cell lengths 4.7747, 4.7747, 4.7747 Å; angles 90.00, 90.00, 90.00 degrees
Last column: nearest neighbours and their distance in Å.
Sites, in units of the cell vectors:
Nd 0.0000 0.0000 0.0000  12 Ga 3.38
Ga 0.0000 0.5000 0.5000  2 Os 2.39
Ga 0.5000 0.0000 0.5000  2 Os 2.39
Ga 0.5000 0.5000 0.0000  2 Os 2.39
Os 0.5000 0.5000 0.5000  6 Ga 2.39

The structure with the least stability is <B>.

<A>
## NdPaGa (PBE)

Data for a geometry-optimized NdPaGa structure.

Output
* total magnetic moment: 0.00 μB/cell

Cell lengths 5.0959, 5.0959, 3.3409 Å; angles 90.00, 90.00, 120.00 degrees
Last column: nearest neighbours and their distance in Å.
Sites, in units of the cell vectors:
Nd 0.0000 0.0000 0.0000  3 Ga 3.09, 3 Pa 3.26, 2 Nd 3.34
Pa 0.3333 0.6667 0.4200  3 Ga 3.11, 3 Nd 3.26, 2 Pa 3.34
Ga 0.6667 0.3333 0.7174  3 Nd 3.09, 3 Pa 3.11, 2 Ga 3.34

<B>
## NdPaGa (PBE)

Data for a geometry-optimized NdPaGa structure.

Output
* total magnetic moment: 1.45 μB/cell

Cell lengths 4.3326, 4.3326, 8.4406 Å; angles 90.00, 90.00, 90.00 degrees
Last column: nearest neighbours and their distance in Å.
Sites, in units of the cell vectors:
Nd 0.2500 0.2500 0.1386  5 Ga 3.18-3.21
Nd 0.7500 0.7500 0.8614  5 Ga 3.18-3.21
Pa 0.2500 0.7500 0.5000  4 Pa 3.06, 4 Ga 3.07
Pa 0.7500 0.2500 0.5000  4 Pa 3.06, 4 Ga 3.07
Ga 0.2500 0.2500 0.7582  4 Pa 3.07, 5 Nd 3.18-3.21
Ga 0.7500 0.7500 0.2418  4 Pa 3.07, 5 Nd 3.18-3.21

The structure with the least stability is <A>.

<A>
## NdPa2Ga (PBE)

Data for a geometry-optimized NdPa2Ga structure.

Output
* total magnetic moment: 0.00 μB/cell

Cell lengths 11.7597, 11.7597, 11.7597 Å; angles 15.53, 15.53, 15.53 degrees
Last column: nearest neighbours and their distance in Å.
Sites, in units of the cell vectors:
Nd 0.0000 0.0000 0.0000  6 Nd 3.18, 2 Pa 3.28
Pa 0.0940 0.0940 0.0940  3 Ga 3.13, 6 Pa 3.18, 1 Nd 3.28
Pa 0.9060 0.9060 0.9060  3 Ga 3.13, 6 Pa 3.18, 1 Nd 3.28
Ga 0.5000 0.5000 0.5000  6 Pa 3.13, 6 Ga 3.18

<B>
## NdPa2Ga (PBE)

Data for a geometry-optimized NdPa2Ga structure.

Output
* total magnetic moment: 0.00 μB/cell

Cell lengths 4.4176, 4.4176, 5.0623 Å; angles 90.00, 90.00, 90.00 degrees
Last column: nearest neighbours and their distance in Å.
Sites, in units of the cell vectors:
Nd 0.0000 0.0000 0.0000  4 Ga 3.12, 8 Pa 3.36
Pa 0.0000 0.5000 0.5000  4 Pa 3.12, 4 Nd 3.36, 4 Ga 3.36
Pa 0.5000 0.0000 0.5000  4 Pa 3.12, 4 Nd 3.36, 4 Ga 3.36
Ga 0.5000 0.5000 0.0000  4 Nd 3.12, 8 Pa 3.36

The structure with the least stability is <A>.

<A>
## NdGa2Pb (PBE)

Data for a geometry-optimized NdGa2Pb structure.

Output
* total magnetic moment: 0.00 μB/cell

Cell lengths 4.6353, 4.6353, 4.4628 Å; angles 90.00, 90.00, 90.00 degrees
Last column: nearest neighbours and their distance in Å.
Sites, in units of the cell vectors:
Nd 0.0000 0.0000 0.0000  8 Ga 3.22, 4 Pb 3.28
Ga 0.0000 0.5000 0.5000  4 Pb 3.22, 4 Nd 3.22, 4 Ga 3.28
Ga 0.5000 0.0000 0.5000  4 Pb 3.22, 4 Nd 3.22, 4 Ga 3.28
Pb 0.5000 0.5000 0.0000  8 Ga 3.22, 4 Nd 3.28

<B>
## NdGa2Pb (PBE)

Data for a geometry-optimized NdGa2Pb structure.

Output
* total magnetic moment: 0.00 μB/cell

Cell lengths 5.2311, 5.2311, 5.2311 Å; angles 60.00, 60.00, 60.00 degrees
Last column: nearest neighbours and their distance in Å.
Sites, in units of the cell vectors:
Nd 0.0000 0.0000 0.0000  8 Ga 3.20
Ga 0.2500 0.2500 0.2500  4 Pb 3.20, 4 Nd 3.20
Ga 0.7500 0.7500 0.7500  4 Pb 3.20, 4 Nd 3.20
Pb 0.5000 0.5000 0.5000  8 Ga 3.20

The structure with the least stability is <B>.

<A>
## NdGaPb2 (PBE)

Data for a geometry-optimized NdGaPb2 structure.

Output
* total magnetic moment: 0.00 μB/cell

Cell lengths 4.7136, 4.7136, 4.8900 Å; angles 90.00, 90.00, 90.00 degrees
Last column: nearest neighbours and their distance in Å.
Sites, in units of the cell vectors:
Nd 0.0000 0.0000 0.0000  4 Ga 3.33, 8 Pb 3.40
Ga 0.5000 0.5000 0.0000  4 Nd 3.33, 8 Pb 3.40
Pb 0.0000 0.5000 0.5000  4 Pb 3.33, 4 Ga 3.40, 4 Nd 3.40
Pb 0.5000 0.0000 0.5000  4 Pb 3.33, 4 Ga 3.40, 4 Nd 3.40

<B>
## NdGaPb2 (PBE)

Data for a geometry-optimized NdGaPb2 structure.

Output
* total magnetic moment: 0.00 μB/cell

Cell lengths 11.2260, 11.2260, 11.2260 Å; angles 18.35, 18.35, 18.35 degrees
Last column: nearest neighbours and their distance in Å.
Sites, in units of the cell vectors:
Nd 0.0000 0.0000 0.0000  2 Pb 3.23, 6 Nd 3.58
Ga 0.5000 0.5000 0.5000  6 Pb 3.08
Pb 0.0976 0.0976 0.0976  3 Ga 3.08, 1 Nd 3.23
Pb 0.9024 0.9024 0.9024  3 Ga 3.08, 1 Nd 3.23

The structure with the least stability is <B>.

<A>
## Nd2GaPd3 (PBE)

Data for a geometry-optimized Nd2GaPd3 structure.

Output
* total magnetic moment: 0.00 μB/cell

Cell lengths 8.9903, 8.6034, 5.8782 Å; angles 74.08, 66.96, 38.96 degrees
Last column: nearest neighbours and their distance in Å.
Sites, in units of the cell vectors:
Nd 0.2469 0.7531 0.7531  10 Pd 3.17-3.30, 2 Ga 3.21
Nd 0.2500 0.2500 0.2500  8 Pd 3.14-3.19, 4 Ga 3.20
Nd 0.7500 0.7500 0.7500  8 Pd 3.14-3.19, 4 Ga 3.20
Nd 0.7531 0.2469 0.2469  10 Pd 3.17-3.30, 2 Ga 3.21
Ga 0.3321 0.3321 0.6679  3 Pd 2.50
Ga 0.6679 0.6679 0.3321  3 Pd 2.50
Pd 0.1708 0.1708 0.8292  1 Ga 2.50, 2 Pd 2.72
Pd 0.1757 0.6504 0.3496  1 Ga 2.50, 2 Pd 2.70-2.72
Pd 0.3496 0.8243 0.1757  1 Ga 2.50, 2 Pd 2.70-2.72
Pd 0.6504 0.1757 0.8243  1 Ga 2.50, 2 Pd 2.70-2.72
Pd 0.8243 0.3496 0.6504  1 Ga 2.50, 2 Pd 2.70-2.72
Pd 0.8292 0.8292 0.1708  1 Ga 2.50, 2 Pd 2.72

<B>
## Nd2GaPd3 (PBE)

Data for a geometry-optimized Nd2GaPd3 structure.

Output
* total magnetic moment: 0.00 μB/cell

Cell lengths 4.5174, 4.5174, 14.8959 Å; angles 90.00, 90.00, 120.00 degrees
Last column: nearest neighbours and their distance in Å.
Sites, in units of the cell vectors:
Nd 0.0000 0.0000 0.1226  9 Pd 3.03-3.36, 3 Ga 3.23
Nd 0.0000 0.0000 0.3774  9 Pd 3.03-3.36, 3 Ga 3.23
Nd 0.0000 0.0000 0.6226  9 Pd 3.03-3.36, 3 Ga 3.23
Nd 0.0000 0.0000 0.8774  9 Pd 3.03-3.36, 3 Ga 3.23
Ga 0.3333 0.6667 0.2500  3 Pd 2.61
Ga 0.6667 0.3333 0.7500  3 Pd 2.61
Pd 0.3333 0.6667 0.0192  3 Pd 2.67
Pd 0.3333 0.6667 0.4808  3 Pd 2.67
Pd 0.3333 0.6667 0.7500  3 Ga 2.61
Pd 0.6667 0.3333 0.2500  3 Ga 2.61
Pd 0.6667 0.3333 0.5192  3 Pd 2.67
Pd 0.6667 0.3333 0.9808  3 Pd 2.67

The structure with the least stability is <B>.

<A>
## NdGa2Pd7 (PBE)

Data for a geometry-optimized NdGa2Pd7 structure.

Output
* total magnetic moment: 0.00 μB/cell

Cell lengths 10.5575, 10.5575, 10.5575 Å; angles 157.32, 157.32, 32.30 degrees
Last column: nearest neighbours and their distance in Å.
Sites, in units of the cell vectors:
Nd 0.0000 0.0000 0.0000  12 Pd 2.94-2.98
Ga 0.3232 0.3232 0.0000  8 Pd 2.54-2.55
Ga 0.6768 0.6768 0.0000  8 Pd 2.54-2.55
Pd 0.1051 0.6051 0.5000  2 Ga 2.54
Pd 0.2500 0.7500 0.5000  4 Ga 2.55
Pd 0.3949 0.8949 0.5000  2 Ga 2.54
Pd 0.5000 0.5000 0.0000  4 Nd 2.94, 8 Pd 2.98
Pd 0.6051 0.1051 0.5000  2 Ga 2.54
Pd 0.7500 0.2500 0.5000  4 Ga 2.55
Pd 0.8949 0.3949 0.5000  2 Ga 2.54

<B>
## NdGa2Pd7 (PBE)

Data for a geometry-optimized NdGa2Pd7 structure.

Output
* total magnetic moment: 0.00 μB/cell

Cell lengths 7.1065, 7.1065, 4.6096 Å; angles 90.00, 90.00, 117.94 degrees
Last column: nearest neighbours and their distance in Å.
Sites, in units of the cell vectors:
Nd 0.0000 0.0000 0.0000  10 Pd 2.83-3.07
Ga 0.2998 0.7002 0.5000  7 Pd 2.44-2.57
Ga 0.7002 0.2998 0.5000  7 Pd 2.44-2.57
Pd 0.0664 0.3101 0.5000  2 Ga 2.48-2.57, 2 Pd 2.72-2.76
Pd 0.2321 0.7679 0.0000  2 Ga 2.45
Pd 0.3101 0.0664 0.5000  2 Ga 2.48-2.57, 2 Pd 2.72-2.76
Pd 0.5000 0.5000 0.5000  2 Ga 2.44, 4 Pd 2.72
Pd 0.6899 0.9336 0.5000  2 Ga 2.48-2.57, 2 Pd 2.72-2.76
Pd 0.7679 0.2321 0.0000  2 Ga 2.45
Pd 0.9336 0.6899 0.5000  2 Ga 2.48-2.57, 2 Pd 2.72-2.76

The structure with the least stability is <B>.